# 1
3
Lattice="0.000 3.484 3.484 3.484 0.000 3.484 3.484 3.484 0.000" Properties=species:S:1:pos:R:3 comment="TmPuU | the Open Quantum Materials Database | PBE-GGA | optimized geometry" crystal_system=cubic de_polymorph_mev_per_atom=0.0 pbc="T T T"
Tm 0.000 0.000 0.000
Pu 3.484 3.484 3.484
U 5.225 5.225 5.225


# 2
3
Lattice="0.000 3.680 3.680 3.680 0.000 3.680 3.680 3.680 0.000" Properties=species:S:1:pos:R:3 comment="YTmPu | the Open Quantum Materials Database | PBE-GGA | optimized geometry" crystal_system=cubic de_polymorph_mev_per_atom=0.0 pbc="T T T"
Y 0.000 0.000 0.000
Tm 5.519 5.519 5.519
Pu 3.680 3.680 3.680


# 3
3
Lattice="0.000 3.457 3.457 3.457 0.000 3.457 3.457 3.457 0.000" Properties=species:S:1:pos:R:3 comment="TmPuZn | the Open Quantum Materials Database | PBE-GGA | optimized geometry" crystal_system=cubic de_polymorph_mev_per_atom=0.0 pbc="T T T"
Tm 0.000 0.000 0.000
Pu 3.457 3.457 3.457
Zn 5.186 5.186 5.186


# 4
3
Lattice="0.000 3.486 3.486 3.486 0.000 3.486 3.486 3.486 0.000" Properties=species:S:1:pos:R:3 comment="TmPuZr | the Open Quantum Materials Database | PBE-GGA | optimized geometry" crystal_system=cubic pbc="T T T"
Tm 0.000 0.000 0.000
Pu 5.229 5.229 5.229
Zr 3.486 3.486 3.486


# 5
2
Lattice="0.000 2.610 2.610 2.610 0.000 2.610 2.610 2.610 0.000" Properties=species:S:1:pos:R:3 comment="PuU | the Open Quantum Materials Database | PBE-GGA | optimized geometry" crystal_system=cubic de_polymorph_mev_per_atom=20.8 pbc="T T T"
Pu 0.000 0.000 0.000
U 2.610 2.610 2.610


# 6
2
Lattice="3.082 0.000 0.000 -1.541 2.669 0.000 0.000 0.000 5.439" Properties=species:S:1:pos:R:3 comment="PuU | the Open Quantum Materials Database | PBE-GGA | optimized geometry" crystal_system=hexagonal de_polymorph_mev_per_atom=0.0 pbc="T T T"
Pu 0.000 0.000 0.000
U 1.541 0.890 2.720


# 7
2
Lattice="0.000 2.799 2.799 2.799 0.000 2.799 2.799 2.799 0.000" Properties=species:S:1:pos:R:3 comment="PuU | the Open Quantum Materials Database | PBE-GGA | optimized geometry" crystal_system=cubic de_polymorph_mev_per_atom=168.4 pbc="T T T"
Pu 0.000 0.000 0.000
U 4.198 4.198 4.198


# 8
3
Lattice="0.000 3.513 3.513 3.513 0.000 3.513 3.513 3.513 0.000" Properties=species:S:1:pos:R:3 comment="YPuU | the Open Quantum Materials Database | PBE-GGA | optimized geometry" crystal_system=cubic de_polymorph_mev_per_atom=0.0 pbc="T T T"
Y 0.000 0.000 0.000
Pu 3.513 3.513 3.513
U 5.270 5.270 5.270


Number 1: energy relative to the elements 0.992 eV per atom. Number 2: energy relative to the elements 0.835 eV per atom. Number 3: energy relative to the elements 0.177 eV per atom. Number 4: energy relative to the elements 0.926 eV per atom. Number 5: energy relative to the elements 0.262 eV per atom. Number 6: energy relative to the elements 0.241 eV per atom. Number 7: energy relative to the elements 0.410 eV per atom. Number 8: energy relative to the elements 1.032 eV per atom.